1.
Pa2TeRu | PBE | relaxed

Values from the calculation:
**SG**: R-3m
**Uncorrected formation energy**: -606 meV per atom

Cell and atoms, written as CIF:
```
data_Pa2TeRu
_symmetry_space_group_name_H-M 'P 1'
_symmetry_Int_Tables_number 1
_cell_length_a 4.0054
_cell_length_b 4.0054
_cell_length_c 7.7878
_cell_angle_alpha 75.10
_cell_angle_beta 75.10
_cell_angle_gamma 60.00
loop_
_symmetry_equiv_pos_as_xyz
'x,y,z'
loop_
_atom_site_label
_atom_site_type_symbol
_atom_site_fract_x
_atom_site_fract_y
_atom_site_fract_z
_atom_site_occupancy
Ru1 Ru 0.0000 0.0000 0.0000 1
Pa1 Pa 0.2650 0.2650 0.2049 1
Pa2 Pa 0.7350 0.7350 0.7951 1
Te1 Te 0.5000 0.5000 0.5000 1
```

---

2.
Pa3Te2Ru | PBE | relaxed

Values from the calculation:
**SG**: C2/m
**Uncorrected formation energy**: -594 meV per atom

Cell and atoms, written as CIF:
```
data_Pa3Te2Ru
_symmetry_space_group_name_H-M 'P 1'
_symmetry_Int_Tables_number 1
_cell_length_a 7.2480
_cell_length_b 7.5847
_cell_length_c 7.2323
_cell_angle_alpha 80.73
_cell_angle_beta 59.93
_cell_angle_gamma 71.24
loop_
_symmetry_equiv_pos_as_xyz
'x,y,z'
loop_
_atom_site_label
_atom_site_type_symbol
_atom_site_fract_x
_atom_site_fract_y
_atom_site_fract_z
_atom_site_occupancy
Pa1 Pa 0.5631 0.2168 0.3655 1
Pa2 Pa 0.7053 0.7921 0.0000 1
Pa3 Pa 0.4369 0.7832 0.6345 1
Pa4 Pa 0.0714 0.7832 0.3655 1
Pa5 Pa 0.9286 0.2168 0.6345 1
Pa6 Pa 0.2947 0.2079 0.0000 1
Te1 Te 0.0000 0.0000 0.0000 1
Te2 Te 0.5000 0.5000 0.0000 1
Te3 Te 0.8478 0.5000 0.3043 1
Te4 Te 0.1522 0.5000 0.6957 1
Ru1 Ru 0.3325 0.0000 0.3351 1
Ru2 Ru 0.6676 0.0000 0.6649 1
```

---

3.
PaTeRu2 | PBE | relaxed

Values from the calculation:
**SG**: R-3m
**Uncorrected formation energy**: -261 meV per atom

Cell and atoms, written as CIF:
```
data_PaTeRu2
_symmetry_space_group_name_H-M 'P 1'
_symmetry_Int_Tables_number 1
_cell_length_a 4.8693
_cell_length_b 4.8693
_cell_length_c 4.8937
_cell_angle_alpha 60.16
_cell_angle_beta 60.16
_cell_angle_gamma 60.00
loop_
_symmetry_equiv_pos_as_xyz
'x,y,z'
loop_
_atom_site_label
_atom_site_type_symbol
_atom_site_fract_x
_atom_site_fract_y
_atom_site_fract_z
_atom_site_occupancy
Ru1 Ru 0.7979 0.7979 0.6064 1
Ru2 Ru 0.2021 0.2021 0.3936 1
Pa1 Pa 0.0000 0.0000 0.0000 1
Te1 Te 0.5000 0.5000 0.5000 1
```

---

4.
Pa2TeRu | PBE | relaxed

Values from the calculation:
**SG**: P4/mmm
**Uncorrected formation energy**: -449 meV per atom

Cell and atoms, written as CIF:
```
data_Pa2TeRu
_symmetry_space_group_name_H-M 'P 1'
_symmetry_Int_Tables_number 1
_cell_length_a 3.3901
_cell_length_b 3.3901
_cell_length_c 7.8941
_cell_angle_alpha 90.00
_cell_angle_beta 90.00
_cell_angle_gamma 90.00
loop_
_symmetry_equiv_pos_as_xyz
'x,y,z'
loop_
_atom_site_label
_atom_site_type_symbol
_atom_site_fract_x
_atom_site_fract_y
_atom_site_fract_z
_atom_site_occupancy
Ru1 Ru 0.5000 0.5000 0.0000 1
Pa1 Pa 0.0000 0.0000 0.7744 1
Pa2 Pa 0.0000 0.0000 0.2256 1
Te1 Te 0.5000 0.5000 0.5000 1
```

---

5.
ThPaRu | PBE | relaxed

Values from the calculation:
**Formation energy**: -0.26 eV per atom
**SG**: I4mm

Cell and atoms, written as CIF:
```
data_ThPaRu
_symmetry_space_group_name_H-M 'P 1'
_symmetry_Int_Tables_number 1
_cell_length_a 3.5840
_cell_length_b 3.5840
_cell_length_c 6.1338
_cell_angle_alpha 106.99
_cell_angle_beta 106.99
_cell_angle_gamma 90.00
loop_
_symmetry_equiv_pos_as_xyz
'x,y,z'
loop_
_atom_site_label
_atom_site_type_symbol
_atom_site_fract_x
_atom_site_fract_y
_atom_site_fract_z
_atom_site_occupancy
Ru1 Ru 0.6973 0.6973 0.3945 1
Pa1 Pa 0.3003 0.3003 0.6006 1
Th1 Th 0.0024 0.0024 0.0049 1
```

---

6.
ThPa3Ru2 | PBE | relaxed

Values from the calculation:
**Formation energy**: -0.33 eV per atom
**SG**: C2/m

Cell and atoms, written as CIF:
```
data_ThPa3Ru2
_symmetry_space_group_name_H-M 'P 1'
_symmetry_Int_Tables_number 1
_cell_length_a 4.4888
_cell_length_b 8.3731
_cell_length_c 8.4854
_cell_angle_alpha 115.79
_cell_angle_beta 90.00
_cell_angle_gamma 105.55
loop_
_symmetry_equiv_pos_as_xyz
'x,y,z'
loop_
_atom_site_label
_atom_site_type_symbol
_atom_site_fract_x
_atom_site_fract_y
_atom_site_fract_z
_atom_site_occupancy
Th1 Th 0.8882 0.7765 0.9715 1
Th2 Th 0.1118 0.2235 0.0285 1
Pa1 Pa 0.2883 0.5766 0.6296 1
Pa2 Pa 0.9344 0.8688 0.5789 1
Pa3 Pa 0.6243 0.2485 0.6856 1
Pa4 Pa 0.3757 0.7515 0.3144 1
Pa5 Pa 0.0656 0.1312 0.4211 1
Pa6 Pa 0.7117 0.4234 0.3704 1
Ru1 Ru 0.4748 0.9496 0.7975 1
Ru2 Ru 0.5252 0.0504 0.2025 1
Ru3 Ru 0.7676 0.5351 0.1306 1
Ru4 Ru 0.2324 0.4649 0.8694 1
```

---

7.
Th2PaRu2 | PBE | relaxed

Values from the calculation:
**Formation energy**: -0.46 eV per atom
**SG**: C2/c

Cell and atoms, written as CIF:
```
data_Th2PaRu2
_symmetry_space_group_name_H-M 'P 1'
_symmetry_Int_Tables_number 1
_cell_length_a 5.9578
_cell_length_b 5.9578
_cell_length_c 7.8749
_cell_angle_alpha 81.16
_cell_angle_beta 81.16
_cell_angle_gamma 60.80
loop_
_symmetry_equiv_pos_as_xyz
'x,y,z'
loop_
_atom_site_label
_atom_site_type_symbol
_atom_site_fract_x
_atom_site_fract_y
_atom_site_fract_z
_atom_site_occupancy
Th1 Th 0.4707 0.2257 0.1509 1
Th2 Th 0.7743 0.5293 0.3491 1
Th3 Th 0.5293 0.7743 0.8491 1
Th4 Th 0.2257 0.4707 0.6509 1
Pa1 Pa 0.1451 0.8549 0.2500 1
Pa2 Pa 0.8549 0.1451 0.7500 1
Ru1 Ru 0.7467 0.0067 0.5043 1
Ru2 Ru 0.9933 0.2533 0.9957 1
Ru3 Ru 0.2533 0.9933 0.4957 1
Ru4 Ru 0.0067 0.7467 0.0043 1
```

---

8.
ThPaRu | PBE | relaxed

Values from the calculation:
**Formation energy**: -0.21 eV per atom
**SG**: Cm

Cell and atoms, written as CIF:
```
data_ThPaRu
_symmetry_space_group_name_H-M 'P 1'
_symmetry_Int_Tables_number 1
_cell_length_a 3.7413
_cell_length_b 6.4003
_cell_length_c 6.7779
_cell_angle_alpha 90.79
_cell_angle_beta 73.98
_cell_angle_gamma 73.01
loop_
_symmetry_equiv_pos_as_xyz
'x,y,z'
loop_
_atom_site_label
_atom_site_type_symbol
_atom_site_fract_x
_atom_site_fract_y
_atom_site_fract_z
_atom_site_occupancy
Th1 Th 0.6177 0.0421 0.7224 1
Th2 Th 0.1841 0.3386 0.2933 1
Ru1 Ru 0.3639 0.6296 0.6425 1
Ru2 Ru 0.0327 0.9025 0.0320 1
Pa1 Pa 0.4436 0.8212 0.2915 1
Pa2 Pa 0.8271 0.4753 0.8705 1
```

---

Which formula does entry 8 have? ThPaRu